w) A plane-wave DFT calculation with PBE was carried out for crystalline Y2SbTe at its relaxed geometry.

## Properties
**ρ**: 6.5 g/cm³

a b c (Å): 5.4246 5.4246 3.7333
angles (deg): 90.00 90.00 90.00
Closest atoms and distances in Å follow each position.
Space group P4/mmm (No. 123)
Inequivalent atoms, fractional coordinates:
Y1 0.0000 0.5000 0.0000 x2  4 Sb 3.29, 4 Te 3.29
Sb1 0.0000 0.0000 0.5000 x1  8 Y 3.29
Te1 0.5000 0.5000 0.5000 x1  8 Y 3.29


x) A plane-wave DFT calculation with PBE was carried out for crystalline Y2SbTe at its relaxed geometry.

## Properties
**ρ**: 6.0 g/cm³

a b c (Å): 4.5059 4.1855 12.5811
angles (deg): 90.00 90.00 90.00
Closest atoms and distances in Å follow each position.
Space group Amm2 (No. 38)
Inequivalent atoms, fractional coordinates:
Y1 0.0000 0.0000 0.0000 x2  1 Te 3.02, 4 Sb 3.08
Y2 0.5000 0.0000 0.2659 x2  4 Te 3.08, 1 Sb 3.17
Sb1 0.5000 0.0000 0.5180 x2  5 Y 3.08-3.17
Te1 0.0000 0.0000 0.7599 x2  5 Y 3.02-3.08


Most favorable structure: x). The second most favorable one is 95 meV/atom above it.


w) A plane-wave DFT calculation with PBE was carried out for crystalline Y2SbTe at its relaxed geometry.

## Properties
**ρ**: 6.4 g/cm³

a b c (Å): 4.9636 5.7249 7.8105
angles (deg): 90.00 90.00 90.00
Closest atoms and distances in Å follow each position.
Space group Cmmm (No. 65)
Inequivalent atoms, fractional coordinates:
Y1 0.0000 0.0000 0.2449 x4  4 Sb 3.13-3.44, 4 Te 3.18-3.49
Sb1 0.0000 0.5000 0.0000 x2  8 Y 3.13-3.44
Te1 0.0000 0.5000 0.5000 x2  8 Y 3.18-3.49


x) A plane-wave DFT calculation with PBE was carried out for crystalline Y2SbTe at its relaxed geometry.

## Properties
**ρ**: 5.9 g/cm³

a b c (Å): 4.2948 4.2948 22.6413
angles (deg): 90.00 90.00 120.00
Closest atoms and distances in Å follow each position.
Space group R3m (No. 160, hexagonal axes)
Inequivalent atoms, fractional coordinates:
Y1 0.0000 0.0000 0.0000 x3  3 Sb 3.06, 3 Te 3.21
Y2 0.0000 0.0000 0.1784 x3  3 Sb 3.02, 3 Te 3.18
Sb1 0.0000 0.0000 0.5875 x3  6 Y 3.02-3.06
Te1 0.0000 0.0000 0.7569 x3  6 Y 3.18-3.21


y) A plane-wave DFT calculation with PBE was carried out for crystalline Y2SbTe at its relaxed geometry.

## Properties
**ρ**: 6.4 g/cm³

a b c (Å): 7.6088 7.6088 7.6088
angles (deg): 90.00 90.00 90.00
Closest atoms and distances in Å follow each position.
Space group Fm-3m (No. 225)
Inequivalent atoms, fractional coordinates:
Y1 0.2500 0.2500 0.2500 x8  4 Sb 3.29, 4 Te 3.29
Sb1 0.0000 0.0000 0.0000 x4  8 Y 3.29
Te1 0.0000 0.0000 0.5000 x4  8 Y 3.29


z) A plane-wave DFT calculation with PBE was carried out for crystalline Y2SbTe at its relaxed geometry.

## Properties
**ρ**: 6.0 g/cm³

a b c (Å): 4.3754 4.3754 6.1895
angles (deg): 90.00 90.00 90.00
Closest atoms and distances in Å follow each position.
Space group P4/mmm (No. 123)
Inequivalent atoms, fractional coordinates:
Y1 0.0000 0.0000 0.0000 x1  4 Te 3.09, 2 Sb 3.09
Y2 0.5000 0.5000 0.5000 x1  4 Sb 3.09, 2 Te 3.09
Sb1 0.0000 0.0000 0.5000 x1  6 Y 3.09
Te1 0.5000 0.5000 0.0000 x1  6 Y 3.09


Most favorable structure: z). The second most favorable one is 43 meV/atom above it.


w) A plane-wave DFT calculation with PBE was carried out for crystalline Y2SbTe at its relaxed geometry.

## Properties
**ρ**: 6.4 g/cm³

a b c (Å): 7.6775 7.7666 3.7465
angles (deg): 90.00 97.51 90.00
Closest atoms and distances in Å follow each position.
Space group C2/m (No. 12)
Inequivalent atoms, fractional coordinates:
Y1 0.2500 0.2500 0.0000 x4  4 Sb 3.17-3.45, 4 Te 3.17-3.45
Sb1 0.0000 0.0000 0.5000 x2  8 Y 3.17-3.45
Te1 0.0000 0.5000 0.5000 x2  8 Y 3.17-3.45


x) A plane-wave DFT calculation with PBE was carried out for crystalline Y2SbTe at its relaxed geometry.

## Properties
**ρ**: 6.5 g/cm³

a b c (Å): 7.6012 7.6012 7.6012
angles (deg): 90.00 90.00 90.00
Closest atoms and distances in Å follow each position.
Space group F-43m (No. 216)
Inequivalent atoms, fractional coordinates:
Y1 0.0000 0.0000 0.0000 x4  4 Te 3.29, 4 Y 3.29
Y2 0.2500 0.2500 0.2500 x4  4 Y 3.29, 4 Sb 3.29
Sb1 0.0000 0.0000 0.5000 x4  4 Y 3.29, 4 Te 3.29
Te1 0.2500 0.2500 0.7500 x4  4 Sb 3.29, 4 Y 3.29


y) A plane-wave DFT calculation with PBE was carried out for crystalline Y2SbTe at its relaxed geometry.

## Properties
**ρ**: 6.4 g/cm³

a b c (Å): 3.7469 3.8831 7.6886
angles (deg): 90.00 96.75 90.00
Closest atoms and distances in Å follow each position.
Space group P2/m (No. 10)
Inequivalent atoms, fractional coordinates:
Y1 0.0370 0.0000 0.2562 x2  2 Sb 3.09, 4 Te 3.28-3.39
Sb1 0.5000 0.5000 0.5000 x1  4 Y 3.09
Te1 0.5000 0.5000 0.0000 x1  8 Y 3.28-3.39


z) A plane-wave DFT calculation with PBE was carried out for crystalline Y2SbTe at its relaxed geometry.

## Properties
**ρ**: 4.3 g/cm³

a b c (Å): 6.8963 6.8963 13.8613
angles (deg): 90.00 90.00 90.00
Closest atoms and distances in Å follow each position.
Space group I-42d (No. 122)
Inequivalent atoms, fractional coordinates:
Y1 0.2432 0.2500 0.1250 x8  2 Sb 2.96, 2 Te 3.02
Sb1 0.0000 0.0000 0.0000 x4  4 Y 2.96
Te1 0.0000 0.0000 0.5000 x4  4 Y 3.02


Most favorable structure: y). The second most favorable one is 5 meV/atom above it.


w) A plane-wave DFT calculation with PBE was carried out for crystalline Y2SbTe at its relaxed geometry.

## Properties
**ρ**: 6.4 g/cm³

a b c (Å): 4.4334 4.4334 11.2715
angles (deg): 90.00 90.00 90.00
Closest atoms and distances in Å follow each position.
Space group I-4m2 (No. 119)
Inequivalent atoms, fractional coordinates:
Y1 0.0000 0.0000 0.0000 x2  4 Te 3.13
Y2 0.0000 0.5000 0.2500 x2  4 Sb 3.13
Sb1 0.0000 0.5000 0.7500 x2  4 Y 3.13
Te1 0.0000 0.0000 0.5000 x2  4 Y 3.13


x) A plane-wave DFT calculation with PBE was carried out for crystalline Y2SbTe at its relaxed geometry.

## Properties
**ρ**: 5.5 g/cm³

a b c (Å): 3.8819 3.8819 29.7438
angles (deg): 90.00 90.00 120.00
Closest atoms and distances in Å follow each position.
Space group R3m (No. 160, hexagonal axes)
Inequivalent atoms, fractional coordinates:
Y1 0.0000 0.0000 0.0000 x3  3 Sb 3.17
Y2 0.0000 0.0000 0.2307 x3  3 Te 2.99
Sb1 0.0000 0.0000 0.7418 x3  3 Y 3.17, 3 Te 3.47
Te1 0.0000 0.0000 0.4977 x3  3 Y 2.99


Most favorable structure: w). The second most favorable one is 539 meV/atom above it.


w) A plane-wave DFT calculation with PBE was carried out for crystalline YZrSbTe2 at its relaxed geometry.

## Properties
**ρ**: 5.0 g/cm³

a b c (Å): 5.6731 5.6731 5.7294
angles (deg): 90.00 90.00 90.00
Closest atoms and distances in Å follow each position.
Space group P4/mmm (No. 123)
Inequivalent atoms, fractional coordinates:
Y1 0.0000 0.0000 0.0000 x1  4 Te 2.84, 2 Sb 2.86
Zr1 0.5000 0.5000 0.5000 x1  4 Sb 4.01, 8 Te 4.03
Sb1 0.0000 0.0000 0.5000 x1  2 Y 2.86
Te1 0.0000 0.5000 0.0000 x2  2 Y 2.84


x) A plane-wave DFT calculation with PBE was carried out for crystalline YZrSbTe2 at its relaxed geometry.

## Properties
**ρ**: 5.4 g/cm³

a b c (Å): 5.5084 5.5084 5.6099
angles (deg): 90.00 90.00 90.00
Closest atoms and distances in Å follow each position.
Space group P4/mmm (No. 123)
Inequivalent atoms, fractional coordinates:
Y1 0.0000 0.0000 0.0000 x1  4 Sb 3.90, 8 Te 3.93
Zr1 0.5000 0.5000 0.5000 x1  4 Te 2.75, 2 Sb 2.80
Sb1 0.5000 0.5000 0.0000 x1  2 Zr 2.80
Te1 0.0000 0.5000 0.5000 x2  2 Zr 2.75


Most favorable structure: x). The second most favorable one is 602 meV/atom above it.


w) A plane-wave DFT calculation with PBE was carried out for crystalline ZnSb2Te at its relaxed geometry.

## Properties
**ρ**: 6.4 g/cm³

a b c (Å): 3.1708 5.9843 5.9834
angles (deg): 90.00 93.58 90.00
Closest atoms and distances in Å follow each position.
Space group Pm (No. 6)
Inequivalent atoms, fractional coordinates:
Zn1 0.0000 0.0000 0.0000 x1  2 Sb 2.96-3.05, 2 Te 3.02, 2 Zn 3.17
Sb1 0.0115 0.5000 0.4947 x1  2 Te 2.97-3.05, 4 Sb 3.01-3.17
Sb2 0.9211 0.0000 0.4899 x1  2 Zn 2.96-3.05, 4 Sb 3.01-3.17
Te1 0.1205 0.5000 0.9917 x1  2 Sb 2.97-3.05, 2 Zn 3.02, 2 Te 3.17


x) A plane-wave DFT calculation with PBE was carried out for crystalline ZnSb2Te at its relaxed geometry.

## Properties
**ρ**: 5.1 g/cm³

a b c (Å): 6.4396 6.4396 13.5939
angles (deg): 90.00 90.00 90.00
Closest atoms and distances in Å follow each position.
Space group I-42d (No. 122)
Inequivalent atoms, fractional coordinates:
Zn1 0.0000 0.0000 0.0000 x4  4 Sb 2.67
Sb1 0.1983 0.2500 0.1250 x8  2 Zn 2.67
Te1 0.0000 0.0000 0.5000 x4  4 Sb 3.04


Most favorable structure: w). The second most favorable one is 114 meV/atom above it.